[1]
8
Lattice="-2.9464 2.9464 3.8539 2.9464 -2.9464 3.8539 2.9464 2.9464 -3.8539" Properties=species:S:1:pos:R:3 comment="Ti2NbN, optimized geometry, DFT GGA-PBE" formation_energy_uncorrected_ev_per_atom=-0.185 energy_ev_per_cell=-69.853 polymorph_energy_mev_per_atom=735 total_magnetization_mub_per_cell=0.000 pbc="T T T"
Ti 4.4196 0.7533 -0.9635
Ti 0.7533 1.4732 0.9635
Ti -1.4732 2.1931 2.8904
Ti 2.1931 1.4732 4.8173
Nb 2.9464 0.0000 1.9269
Nb 0.0000 0.0000 3.8539
N 0.0000 0.0000 0.0000
N 0.0000 2.9464 1.9269

***

[2]
5
Lattice="-1.9402 1.9402 8.2116 1.9402 -1.9402 8.2116 1.9402 1.9402 -8.2116" Properties=species:S:1:pos:R:3 comment="Y2Ge2Sb, optimized geometry, DFT GGA-PBE" formation_energy_uncorrected_ev_per_atom=-0.704 energy_ev_per_cell=-29.806 polymorph_energy_mev_per_atom=10 total_magnetization_mub_per_cell=0.000 pbc="T T T"
Y 0.0000 0.0000 1.7742
Y 0.0000 0.0000 14.6489
Ge 1.9402 0.0000 4.1058
Ge 0.0000 1.9402 4.1058
Sb 0.0000 0.0000 8.2116